A geometry-optimized YZnNi2 structure, computed with PBE.

It has space group Cmmm (No. 65), with a = 5.450 Å, b = 6.220 Å, c = 4.108 Å, α = 90.00°, β = 90.00° and γ = 90.00°. The distinct sites, in fractional coordinates, are Y at (0.000, 0.000, 0.000), Zn at (0.000, 0.500, 0.000) and Ni at (0.000, 0.305, 0.500).

As for the calculated density: 6.48 Mg/m³. The total energy is -4.807 eV/atom.